[1]
# Tm5BiB2

A relaxed Tm5BiB2 crystal (PBE, Alexandria).

a = 7.061 Å, b = 7.061 Å, c = 8.739 Å
α = 113.83°, β = 113.83°, γ = 90.00°
Sites, in units of the cell vectors:
Tm1 0.543 0.704 0.748
Tm2 0.796 0.957 0.252
Tm3 0.000 0.000 0.000
Tm4 0.500 0.500 0.000
Tm5 0.204 0.043 0.748
Tm6 0.704 0.204 0.748
Tm7 0.043 0.543 0.748
Tm8 0.296 0.796 0.252
Tm9 0.957 0.457 0.252
Tm10 0.457 0.296 0.252
Bi1 0.750 0.750 0.500
Bi2 0.250 0.250 0.500
B1 0.099 0.401 0.000
B2 0.599 0.099 0.000
B3 0.401 0.901 0.000
B4 0.901 0.599 0.000

Properties
- Total magnetization: 0.00 μB per atom
- Energy relative to the elements: -0.24 eV/atom

---

[2]
# NaAc3Cu2O8

A relaxed NaAc3Cu2O8 crystal (PBE, Alexandria).

a = 5.620 Å, b = 5.620 Å, c = 7.448 Å
α = 90.00°, β = 90.00°, γ = 120.00°
Site moments in Bohr magnetons follow the coordinates.
Sites, in units of the cell vectors:
Na1 0.000 0.000 0.500  0.01
Ac1 0.333 0.667 0.630  -0.01
Ac2 0.667 0.333 0.370  -0.01
Ac3 0.000 0.000 0.000  -0.02
Cu1 0.333 0.667 0.178  0.79
Cu2 0.667 0.333 0.822  0.79
O1 0.333 0.667 0.934  0.16
O2 0.667 0.333 0.066  0.16
O3 0.169 0.831 0.309  0.30
O4 0.831 0.169 0.691  0.30
O5 0.169 0.337 0.309  0.30
O6 0.831 0.663 0.691  0.30
O7 0.663 0.831 0.309  0.30
O8 0.337 0.169 0.691  0.30

Properties
- Total magnetization: 0.29 μB per atom
- Formation energy (no corrections): -1.92 eV/atom

---

[3]
# Na2LiH

A relaxed Na2LiH crystal (PBE, Alexandria).

a = 3.303 Å, b = 3.303 Å, c = 9.250 Å
α = 79.72°, β = 79.72°, γ = 60.00°
Sites, in units of the cell vectors:
Na1 0.113 0.113 0.662
Na2 0.887 0.887 0.338
H1 0.500 0.500 0.500
Li1 0.000 0.000 0.000

Properties
- Energy above the most stable polymorph in this dataset: 0.0 kJ per mole of atoms
- Total magnetization: 0.00 μB per atom

---

[4]
# CaCoOs2

A relaxed CaCoOs2 crystal (PBE, Alexandria).

a = 2.902 Å, b = 4.554 Å, c = 4.718 Å
α = 90.00°, β = 90.00°, γ = 90.00°
Site moments in Bohr magnetons follow the coordinates.
Sites, in units of the cell vectors:
Co1 0.000 0.500 0.500  1.51
Ca1 0.500 0.000 0.500  -0.04
Os1 0.000 0.000 0.000  0.14
Os2 0.500 0.500 0.000  0.26

Properties
- Energy above the most stable polymorph in this dataset: 23.5 kJ per mole of atoms
- Total magnetization: 0.45 μB per atom
- Energy relative to the elements: 0.59 eV/atom

---

[5]
# La2AlSe

A relaxed La2AlSe crystal (PBE, Alexandria).

a = 6.699 Å, b = 6.699 Å, c = 8.710 Å
α = 67.38°, β = 67.38°, γ = 90.00°
Sites, in units of the cell vectors:
Al1 0.500 0.500 0.000
Al2 0.250 0.750 0.500
Se1 0.000 0.000 0.000
Se2 0.750 0.250 0.500
La1 0.639 0.125 0.250
La2 0.111 0.625 0.250
La3 0.375 0.361 0.750
La4 0.875 0.889 0.750

Properties
- Energy above the most stable polymorph in this dataset: 68.1 kJ per mole of atoms
- Total magnetization: 0.00 μB per atom
- Formation energy (no corrections): -0.46 eV/atom

---

[6]
# SiAgTe3

A relaxed SiAgTe3 crystal (PBE, Alexandria).

a = 6.813 Å, b = 6.873 Å, c = 6.873 Å
α = 120.00°, β = 90.00°, γ = 90.00°
Sites, in units of the cell vectors:
Si1 0.750 0.000 0.000
Si2 0.250 0.000 0.000
Ag1 0.250 0.667 0.333
Ag2 0.750 0.333 0.667
Te1 0.000 0.688 0.688
Te2 0.500 0.688 0.000
Te3 0.500 0.000 0.688
Te4 0.000 0.000 0.312
Te5 0.500 0.312 0.312
Te6 0.000 0.312 0.000

Properties
- Energy above the most stable polymorph in this dataset: 0.1 kJ per mole of atoms
- Total magnetization: 0.00 μB per atom
- Formation energy (no corrections): 0.12 eV/atom

---

[7]
# Li2ZnRe

A relaxed Li2ZnRe crystal (PBE, Alexandria).

a = 4.586 Å, b = 2.535 Å, c = 4.951 Å
α = 90.00°, β = 90.00°, γ = 90.00°
Sites, in units of the cell vectors:
Li1 0.000 0.875 0.049
Li2 0.500 0.375 0.214
Re1 0.000 0.375 0.555
Zn1 0.500 0.875 0.682

Properties
- Total magnetization: 0.00 μB per atom
- Energy relative to the elements: 0.20 eV/atom

---

[8]
# CaTlSi2

A relaxed CaTlSi2 crystal (PBE, Alexandria).

a = 3.332 Å, b = 4.529 Å, c = 6.481 Å
α = 90.00°, β = 90.00°, γ = 90.00°
Sites, in units of the cell vectors:
Ca1 0.500 0.500 0.750
Si1 0.000 0.000 0.936
Si2 0.000 0.000 0.564
Tl1 0.500 0.500 0.250

Properties
- Energy above the most stable polymorph in this dataset: 21.5 kJ per mole of atoms
- Total magnetization: 0.00 μB per atom
- Formation energy (no corrections): 0.12 eV/atom

---

[9]
# FeIr2

A relaxed FeIr2 crystal (PBE, Alexandria).

a = 3.795 Å, b = 3.795 Å, c = 11.774 Å
α = 99.27°, β = 99.27°, γ = 90.00°
Site moments in Bohr magnetons follow the coordinates.
Sites, in units of the cell vectors:
Fe1 0.083 0.083 0.167  2.54
Fe2 0.917 0.917 0.833  2.54
Fe3 0.333 0.833 0.667  2.54
Fe4 0.167 0.667 0.333  2.54
Ir1 0.249 0.249 0.498  0.04
Ir2 0.751 0.751 0.502  0.04
Ir3 0.499 0.999 0.998  0.04
Ir4 0.001 0.501 0.002  0.04
Ir5 0.416 0.416 0.832  0.02
Ir6 0.584 0.584 0.168  0.02
Ir7 0.666 0.166 0.332  0.02
Ir8 0.834 0.334 0.668  0.02

Properties
- Total magnetization: 0.88 μB per atom
- Energy relative to the elements: -0.02 eV/atom

---

[10]
# Zr2UAu

A relaxed Zr2UAu crystal (PBE, Alexandria).

a = 3.148 Å, b = 5.148 Å, c = 5.148 Å
α = 90.00°, β = 90.00°, γ = 90.00°
Site moments in Bohr magnetons follow the coordinates.
Sites, in units of the cell vectors:
Au1 0.500 0.000 0.000  -0.01
U1 0.500 0.500 0.500  1.39
Zr1 0.000 0.000 0.500  0.04
Zr2 0.000 0.500 0.000  0.04

Properties
- Energy above the most stable polymorph in this dataset: 0.0 kJ per mole of atoms
- Total magnetization: 0.39 μB per atom
- Energy relative to the elements: -0.10 eV/atom

---

[11]
# Li2CdF

A relaxed Li2CdF crystal (PBE, Alexandria).

a = 5.921 Å, b = 5.921 Å, c = 5.784 Å
α = 59.22°, β = 59.22°, γ = 90.00°
Sites, in units of the cell vectors:
F1 0.500 0.500 0.000
F2 0.250 0.750 0.500
Li1 0.462 0.125 0.250
Li2 0.288 0.625 0.250
Li3 0.375 0.538 0.750
Li4 0.875 0.712 0.750
Cd1 0.000 0.000 0.000
Cd2 0.750 0.250 0.500

Properties
- Energy above the most stable polymorph in this dataset: 8.9 kJ per mole of atoms
- Total magnetization: 0.00 μB per atom
- Formation energy (no corrections): -1.39 eV/atom

---

[12]
# HoTh2AuC

A relaxed HoTh2AuC crystal (PBE, Alexandria).

a = 5.031 Å, b = 5.031 Å, c = 4.830 Å
α = 90.00°, β = 90.00°, γ = 90.00°
Sites, in units of the cell vectors:
Ho1 0.000 0.000 0.500
Th1 0.000 0.500 0.000
Th2 0.500 0.000 0.000
Au1 0.500 0.500 0.501
C1 0.000 0.000 0.000

Properties
- Total magnetization: 0.00 μB per atom
- Energy relative to the elements: -0.33 eV/atom

---

[13]
# KRhAu

A relaxed KRhAu crystal (PBE, Alexandria).

a = 4.710 Å, b = 4.710 Å, c = 4.710 Å
α = 60.00°, β = 60.00°, γ = 60.00°
Site moments in Bohr magnetons follow the coordinates.
Sites, in units of the cell vectors:
Au1 0.000 0.000 0.000  0.05
K1 0.500 0.500 0.500  0.00
Rh1 0.750 0.750 0.750  0.44

Properties
- Energy above the most stable polymorph in this dataset: 48.9 kJ per mole of atoms
- Total magnetization: 0.17 μB per atom
- Energy relative to the elements: 0.71 eV/atom

---

[14]
# PmNdPBr

A relaxed PmNdPBr crystal (PBE, Alexandria).

a = 4.091 Å, b = 4.091 Å, c = 7.834 Å
α = 90.00°, β = 105.13°, γ = 120.00°
Sites, in units of the cell vectors:
Pm1 0.105 0.950 0.070
Nd1 0.500 0.148 0.664
P1 0.307 0.551 0.874
Br1 0.966 0.381 0.362

Properties
- Total magnetization: 0.00 μB per atom
- Formation energy (no corrections): -1.50 eV/atom

---

[15]
# LaSmAu4

A relaxed LaSmAu4 crystal (PBE, Alexandria).

a = 3.859 Å, b = 3.859 Å, c = 9.392 Å
α = 90.00°, β = 90.00°, γ = 90.00°
Sites, in units of the cell vectors:
La1 0.000 0.000 0.000
Sm1 0.500 0.500 0.500
Au1 0.500 0.500 0.828
Au2 0.500 0.500 0.172
Au3 0.000 0.000 0.661
Au4 0.000 0.000 0.339

Properties
- Total magnetization: 0.00 μB per atom
- Energy relative to the elements: -0.79 eV/atom

---

[16]
# NdOsF

A relaxed NdOsF crystal (PBE, Alexandria).

a = 3.996 Å, b = 3.997 Å, c = 10.012 Å
α = 113.54°, β = 113.54°, γ = 59.99°
Sites, in units of the cell vectors:
Os1 0.885 0.021 0.260
Os2 0.494 0.630 0.174
Nd1 0.719 0.854 0.510
Nd2 0.661 0.796 0.923
F1 0.465 0.601 0.630
F2 0.914 0.050 0.803

Properties
- Total magnetization: 0.00 μB per atom
- Formation energy (no corrections): -1.62 eV/atom

---

[17]
# Tb2ZrZn

A relaxed Tb2ZrZn crystal (PBE, Alexandria).

a = 3.270 Å, b = 3.270 Å, c = 11.425 Å
α = 81.77°, β = 81.77°, γ = 60.00°
Sites, in units of the cell vectors:
Zn1 0.500 0.500 0.500
Tb1 0.096 0.096 0.713
Tb2 0.904 0.904 0.287
Zr1 0.000 0.000 0.000

Properties
- Energy above the most stable polymorph in this dataset: 36.4 kJ per mole of atoms
- Total magnetization: 0.00 μB per atom
- Energy relative to the elements: 0.26 eV/atom

---

[18]
# La4NdHo2Tm

A relaxed La4NdHo2Tm crystal (PBE, Alexandria).

a = 5.971 Å, b = 5.975 Å, c = 9.793 Å
α = 52.40°, β = 89.99°, γ = 90.00°
Sites, in units of the cell vectors:
La1 0.000 0.759 0.741
La2 0.000 0.241 0.259
La3 0.500 0.742 0.258
La4 0.500 0.258 0.742
Nd1 0.500 0.500 0.000
Ho1 0.000 0.000 0.000
Ho2 0.500 0.000 0.500
Tm1 0.000 0.500 0.500

Properties
- Total magnetization: 0.00 μB per atom
- Energy relative to the elements: 0.08 eV/atom